1.
{
  "formula": "PaAsS4Cl",
  "functional": "GGA-PBE",
  "state": "relaxed",
  "magnetic_moment_mub_per_cell": 0.000,
  "total_energy_ev_per_atom": -5.443,
  "vol_a3_per_atom": 27.2,
  "spacegroup": "C2/m (12)",
  "lattice": [[7.131, -0.255, 0.061], [2.121, 6.813, 0.061], [1.941, 1.376, 7.779]],
  "species": ["Pa", "Pa", "As", "As", "S", "S", "S", "S", "S", "S", "S", "S", "Cl", "Cl"],
  "frac_coords": [[0.217, 0.217, 0.886], [0.783, 0.783, 0.114], [0.640, 0.640, 0.710], [0.360, 0.360, 0.290], [0.216, 0.216, 0.545], [0.784, 0.784, 0.455], [0.123, 0.490, 0.106], [0.554, 0.554, 0.307], [0.510, 0.877, 0.894], [0.490, 0.123, 0.106], [0.446, 0.446, 0.693], [0.877, 0.510, 0.894], [0.020, 0.020, 0.181], [0.980, 0.980, 0.819]]
}

---

2.
{
  "formula": "AsPb2Cl2",
  "functional": "GGA-PBE",
  "state": "relaxed",
  "magnetic_moment_mub_per_cell": 0.000,
  "de_polymorph_ev_per_fu": 0.00,
  "vol_a3_per_atom": 28.6,
  "spacegroup": "P4/mbm (127)",
  "lattice": [[8.432, 0.000, 0.000], [0.000, 8.432, 0.000], [0.000, 0.000, 4.016]],
  "species": ["Pb", "Pb", "Pb", "Pb", "As", "As", "Cl", "Cl", "Cl", "Cl"],
  "frac_coords": [[0.305, 0.805, 0.000], [0.805, 0.695, 0.000], [0.695, 0.195, 0.000], [0.195, 0.305, 0.000], [0.000, 0.000, 0.000], [0.500, 0.500, 0.000], [0.136, 0.636, 0.500], [0.636, 0.864, 0.500], [0.864, 0.364, 0.500], [0.364, 0.136, 0.500]]
}

---

3.
{
  "formula": "AsPbCl2",
  "functional": "GGA-PBE",
  "state": "relaxed",
  "magnetic_moment_mub_per_cell": 0.000,
  "de_polymorph_ev_per_fu": 1.06,
  "vol_a3_per_atom": 26.9,
  "spacegroup": "P4mm (99)",
  "lattice": [[3.628, 0.000, 0.000], [0.000, 3.628, 0.000], [0.000, 0.000, 8.160]],
  "species": ["Pb", "As", "Cl", "Cl"],
  "frac_coords": [[0.000, 0.000, 0.514], [0.500, 0.500, 0.767], [0.000, 0.000, 0.910], [0.500, 0.500, 0.309]]
}

---

4.
{
  "formula": "AsPbCl6",
  "functional": "GGA-PBE",
  "state": "relaxed",
  "magnetic_moment_mub_per_cell": 0.000,
  "total_energy_ev_per_atom": -3.108,
  "vol_a3_per_atom": 28.7,
  "spacegroup": "R-3 (148)",
  "lattice": [[6.614, 0.009, 0.010], [3.300, 5.732, 0.013], [3.297, 1.905, 6.059]],
  "species": ["As", "Pb", "Cl", "Cl", "Cl", "Cl", "Cl", "Cl"],
  "frac_coords": [[0.000, 0.000, 0.000], [0.500, 0.500, 0.500], [0.059, 0.383, 0.771], [0.786, 0.059, 0.771], [0.617, 0.214, 0.229], [0.214, 0.941, 0.229], [0.941, 0.617, 0.229], [0.383, 0.786, 0.771]]
}

---

5.
{
  "formula": "AsPbCl2",
  "functional": "GGA-PBE",
  "state": "relaxed",
  "magnetic_moment_mub_per_cell": 0.000,
  "de_polymorph_ev_per_fu": 1.14,
  "vol_a3_per_atom": 24.6,
  "spacegroup": "Cmmm (65)",
  "lattice": [[3.505, 0.014, 0.000], [-1.835, 2.986, 0.000], [0.000, 0.000, 9.370]],
  "species": ["Pb", "As", "Cl", "Cl"],
  "frac_coords": [[0.500, 0.500, 0.250], [0.500, 0.500, 0.750], [0.000, 0.000, 0.965], [0.000, 0.000, 0.535]]
}

---

6.
{
  "formula": "AsPb2Cl",
  "functional": "GGA-PBE",
  "state": "relaxed",
  "magnetic_moment_mub_per_cell": 0.000,
  "de_polymorph_ev_per_fu": 0.89,
  "vol_a3_per_atom": 33.9,
  "spacegroup": "I-42d (122)",
  "lattice": [[7.807, 0.000, 0.000], [0.000, 7.807, 0.000], [3.904, 3.904, 4.450]],
  "species": ["Pb", "Pb", "Pb", "Pb", "As", "As", "Cl", "Cl"],
  "frac_coords": [[0.648, 0.125, 0.250], [0.102, 0.625, 0.250], [0.375, 0.352, 0.750], [0.875, 0.898, 0.750], [0.000, 0.000, 0.000], [0.750, 0.250, 0.500], [0.500, 0.500, 0.000], [0.250, 0.750, 0.500]]
}

---

7.
{
  "formula": "AsPbCl2",
  "functional": "GGA-PBE",
  "state": "relaxed",
  "magnetic_moment_mub_per_cell": 0.000,
  "de_polymorph_ev_per_fu": 0.00,
  "vol_a3_per_atom": 34.6,
  "spacegroup": "Pm (6)",
  "lattice": [[-0.703, -4.005, 3.285], [1.481, -2.197, -2.361], [7.514, 0.088, 1.716]],
  "species": ["Pb", "As", "Cl", "Cl"],
  "frac_coords": [[0.000, 0.480, 0.660], [0.500, 0.016, 0.595], [0.000, 0.826, 0.944], [0.500, 0.177, 0.301]]
}

---

8.
{
  "formula": "As2Pb4Cl5",
  "functional": "GGA-PBE",
  "state": "relaxed",
  "magnetic_moment_mub_per_cell": 0.000,
  "total_energy_ev_per_atom": -3.752,
  "vol_a3_per_atom": 33.4,
  "spacegroup": "P-1 (2)",
  "lattice": [[-1.240, 3.787, 0.998], [-5.516, -3.527, 6.505], [11.082, 0.846, 2.090]],
  "species": ["As", "As", "Pb", "Pb", "Pb", "Pb", "Cl", "Cl", "Cl", "Cl", "Cl"],
  "frac_coords": [[0.482, 0.601, 0.965], [0.518, 0.399, 0.035], [0.671, 0.558, 0.343], [0.062, 0.857, 0.122], [0.329, 0.442, 0.657], [0.938, 0.143, 0.878], [0.173, 0.790, 0.348], [0.827, 0.210, 0.652], [0.165, 0.333, 0.333], [0.500, 0.000, 0.000], [0.835, 0.667, 0.667]]
}

---

9.
{
  "formula": "AsPbCl2",
  "functional": "GGA-PBE",
  "state": "relaxed",
  "magnetic_moment_mub_per_cell": 0.000,
  "de_polymorph_ev_per_fu": 0.58,
  "vol_a3_per_atom": 25.1,
  "spacegroup": "R-3m (166)",
  "lattice": [[1.989, 0.000, 9.772], [-0.995, 1.723, 9.772], [-0.995, -1.723, 9.772]],
  "species": ["Pb", "As", "Cl", "Cl"],
  "frac_coords": [[0.500, 0.500, 0.500], [0.000, 0.000, 0.000], [0.916, 0.916, 0.916], [0.084, 0.084, 0.084]]
}

---

10.
{
  "formula": "AsPbCl2",
  "functional": "GGA-PBE",
  "state": "relaxed",
  "magnetic_moment_mub_per_cell": 0.000,
  "de_polymorph_ev_per_fu": 0.03,
  "vol_a3_per_atom": 34.5,
  "spacegroup": "P4mm (99)",
  "lattice": [[-0.336, -4.247, 0.259], [2.330, 0.033, 3.580], [-6.320, 0.751, 4.107]],
  "species": ["Pb", "As", "Cl", "Cl"],
  "frac_coords": [[0.000, 0.000, 0.636], [0.500, 0.500, 0.595], [0.000, 0.000, 0.965], [0.500, 0.500, 0.305]]
}

---

11.
{
  "formula": "As3PbCl",
  "functional": "GGA-PBE",
  "state": "relaxed",
  "magnetic_moment_mub_per_cell": 0.000,
  "de_polymorph_ev_per_fu": 0.00,
  "vol_a3_per_atom": 25.1,
  "spacegroup": "Pm-3m (221)",
  "lattice": [[-1.324, -3.391, 3.439], [1.610, -3.672, -3.001], [4.554, 0.312, 2.061]],
  "species": ["Pb", "As", "As", "As", "Cl"],
  "frac_coords": [[0.500, 0.500, 0.500], [0.000, 0.500, 0.000], [0.000, 0.000, 0.500], [0.500, 0.000, 0.000], [0.000, 0.000, 0.000]]
}

---

12.
{
  "formula": "AsPb2Cl",
  "functional": "GGA-PBE",
  "state": "relaxed",
  "magnetic_moment_mub_per_cell": 0.000,
  "de_polymorph_ev_per_fu": 0.56,
  "vol_a3_per_atom": 26.8,
  "spacegroup": "P2/m (10)",
  "lattice": [[-0.423, 0.217, 3.620], [2.325, -2.909, 0.446], [8.357, 2.044, 0.854]],
  "species": ["Pb", "Pb", "As", "Cl"],
  "frac_coords": [[0.000, 0.972, 0.021], [0.000, 0.528, 0.479], [0.500, 0.250, 0.250], [0.500, 0.750, 0.750]]
}